Record 1
DFT (PBE-GGA) results for a geometry-optimized LaEr3Pb3 structure. Values from VASP.

Cell and atoms, written as Quantum ESPRESSO input:
```
&SYSTEM
  ibrav = 0, nat = 14, ntyp = 3
/
ATOMIC_SPECIES
La 138.91 La.upf
Er 167.26 Er.upf
Pb 207.20 Pb.upf
ATOMIC_POSITIONS crystal
La 0.167 0.167 0.167
La 0.833 0.833 0.833
Er 0.116 0.699 0.402
Er 0.301 0.598 0.884
Er 0.402 0.116 0.699
Er 0.598 0.884 0.301
Er 0.699 0.402 0.116
Er 0.884 0.301 0.598
Pb 0.063 0.425 0.779
Pb 0.221 0.937 0.575
Pb 0.425 0.779 0.063
Pb 0.575 0.221 0.937
Pb 0.779 0.063 0.425
Pb 0.937 0.575 0.221
CELL_PARAMETERS angstrom
4.687 2.706 6.325
-4.687 2.706 6.325
0.000 -5.412 6.325
```

Output
ΔH_f (0 K), meV per atom: -320.4
Space group: R-3, No. 148

Record 2
DFT (PBE-GGA) results for a geometry-optimized Sm2TiTl3Te6 structure. Values from VASP.

Cell and atoms, written as Quantum ESPRESSO input:
```
&SYSTEM
  ibrav = 0, nat = 12, ntyp = 4
/
ATOMIC_SPECIES
Sm 150.36 Sm.upf
Ti 47.87 Ti.upf
Tl 204.38 Tl.upf
Te 127.60 Te.upf
ATOMIC_POSITIONS crystal
Sm 0.165 0.835 0.000
Sm 0.835 0.165 0.000
Ti 0.500 0.500 0.000
Tl 0.000 0.000 0.500
Tl 0.324 0.676 0.500
Tl 0.676 0.324 0.500
Te 0.122 0.431 0.792
Te 0.263 0.263 0.217
Te 0.431 0.122 0.792
Te 0.569 0.878 0.208
Te 0.737 0.737 0.783
Te 0.878 0.569 0.208
CELL_PARAMETERS angstrom
3.802 -6.574 0.000
3.802 6.574 0.000
-2.551 0.000 8.164
```

Output
E_tot, eV/atom: -4.460
Space group: C2/m, No. 12

Record 3
DFT (PBE-GGA) results for a geometry-optimized KYHgPb structure. Values from VASP.

Cell and atoms, written as Quantum ESPRESSO input:
```
&SYSTEM
  ibrav = 0, nat = 4, ntyp = 4
/
ATOMIC_SPECIES
K 39.10 K.upf
Y 88.91 Y.upf
Hg 200.59 Hg.upf
Pb 207.20 Pb.upf
ATOMIC_POSITIONS crystal
K 0.000 0.000 0.000
Y 0.500 0.500 0.500
Hg 0.750 0.750 0.750
Pb 0.250 0.250 0.250
CELL_PARAMETERS angstrom
0.000 3.928 3.928
3.928 0.000 3.928
3.928 3.928 0.000
```

Output
ΔH_f (0 K), meV per atom: -232.1
Space group: F-43m, No. 216

Record 4
DFT (PBE-GGA) results for a geometry-optimized Fe6NiIr8 structure. Values from VASP.

Cell and atoms, written as Quantum ESPRESSO input:
```
&SYSTEM
  ibrav = 0, nat = 15, ntyp = 3
/
ATOMIC_SPECIES
Fe 55.84 Fe.upf
Ni 58.69 Ni.upf
Ir 192.22 Ir.upf
ATOMIC_POSITIONS crystal
Fe 0.139 0.402 0.600
Fe 0.400 0.861 0.598
Fe 0.402 0.600 0.139
Fe 0.598 0.400 0.861
Fe 0.600 0.139 0.402
Fe 0.861 0.598 0.400
Ni 0.000 0.000 0.000
Ir 0.127 0.642 0.858
Ir 0.142 0.873 0.358
Ir 0.255 0.255 0.255
Ir 0.358 0.142 0.873
Ir 0.642 0.858 0.127
Ir 0.745 0.745 0.745
Ir 0.858 0.127 0.642
Ir 0.873 0.358 0.142
CELL_PARAMETERS angstrom
3.322 1.918 5.568
-3.322 1.918 5.568
0.000 -3.836 5.568
```

Output
ΔH_f (0 K), meV per atom: 248.1
Space group: R-3, No. 148

Record 5
DFT (PBE-GGA) results for a geometry-optimized AcMgNi5Sn2 structure. Values from VASP.

Cell and atoms, written as Quantum ESPRESSO input:
```
&SYSTEM
  ibrav = 0, nat = 9, ntyp = 4
/
ATOMIC_SPECIES
Ac 227.00 Ac.upf
Mg 24.30 Mg.upf
Ni 58.69 Ni.upf
Sn 118.71 Sn.upf
ATOMIC_POSITIONS crystal
Ac 0.000 0.000 0.000
Mg 0.000 0.000 0.500
Ni 0.000 0.500 0.349
Ni 0.000 0.500 0.651
Ni 0.500 0.000 0.349
Ni 0.500 0.000 0.651
Ni 0.500 0.500 0.000
Sn 0.500 0.500 0.299
Sn 0.500 0.500 0.701
CELL_PARAMETERS angstrom
4.790 0.000 0.000
0.000 4.790 0.000
0.000 0.000 7.946
```

Output
ΔH_f (0 K), meV per atom: 114.8
Space group: P4/mmm, No. 123

Record 6
DFT (PBE-GGA) results for a geometry-optimized CaTa2Cr structure. Values from VASP.

Cell and atoms, written as Quantum ESPRESSO input:
```
&SYSTEM
  ibrav = 0, nat = 4, ntyp = 3
/
ATOMIC_SPECIES
Ca 40.08 Ca.upf
Ta 180.95 Ta.upf
Cr 52.00 Cr.upf
ATOMIC_POSITIONS crystal
Ca 0.000 0.000 0.000
Ta 0.252 0.748 0.500
Ta 0.501 0.499 0.000
Cr 0.748 0.252 0.500
CELL_PARAMETERS angstrom
3.380 -3.393 0.000
3.380 3.393 0.000
-3.353 0.000 3.388
```

Output
ΔH_f (0 K), meV per atom: 785.1
Relative energy among the computed polymorphs, eV/atom: 0.312
Space group: C2, No. 5